DFT (PBE) results for an optimized crystal structure of GaMo3I.

Unit cell a=4.7202 b=4.7202 c=4.7202 alpha=90.00 beta=90.00 gamma=90.00
Atoms (fractional coordinates):
Ga1 0.0000 0.0000 0.0000
Mo1 0.0000 0.0000 0.5000
Mo2 0.0000 0.5000 0.0000
Mo3 0.5000 0.0000 0.0000
I1 0.5000 0.5000 0.5000

Results
E above lowest polymorph = 0 meV/atom

***

DFT (PBE) results for an optimized crystal structure of Ga2MoI.

Unit cell a=7.8940 b=7.8940 c=7.8940 alpha=132.99 beta=132.99 gamma=68.67
Atoms (fractional coordinates):
Ga1 0.0515 0.6250 0.9265
Ga2 0.3750 0.3015 0.4265
Ga3 0.6985 0.1250 0.0735
Ga4 0.8750 0.9485 0.5735
Mo1 0.0000 0.0000 0.0000
Mo2 0.7500 0.2500 0.5000
I1 0.2500 0.7500 0.5000
I2 0.5000 0.5000 0.0000

Results
E above lowest polymorph = 0 meV/atom

***

DFT (PBE) results for an optimized crystal structure of Ga2MoI.

Unit cell a=4.8195 b=4.8195 c=4.8195 alpha=60.00 beta=60.00 gamma=60.00
Atoms (fractional coordinates):
Ga1 0.2500 0.2500 0.2500
Ga2 0.7500 0.7500 0.7500
Mo1 0.0000 0.0000 0.0000
I1 0.5000 0.5000 0.5000

Results
E above lowest polymorph = 102 meV/atom

***

DFT (PBE) results for an optimized crystal structure of GaMoI2N.

Unit cell a=5.8558 b=5.8558 c=3.6009 alpha=90.00 beta=90.00 gamma=90.00
Atoms (fractional coordinates):
Ga1 0.0000 0.0000 0.0000
Mo1 0.5000 0.5000 0.5000
I1 0.0000 0.5000 0.0000
I2 0.5000 0.0000 0.0000
N1 0.0000 0.0000 0.5000

Results
E above lowest polymorph = 890 meV/atom

***

DFT (PBE) results for an optimized crystal structure of GaMoI2N.

Unit cell a=5.7666 b=5.7666 c=3.8713 alpha=90.00 beta=90.00 gamma=90.00
Atoms (fractional coordinates):
Ga1 0.0000 0.0000 0.0000
Mo1 0.5000 0.5000 0.5000
I1 0.0000 0.5000 0.5000
I2 0.5000 0.0000 0.5000
N1 0.5000 0.5000 0.0000

Results
E above lowest polymorph = 0 meV/atom

***

DFT (PBE) results for an optimized crystal structure of Rb2GaMoI.

Unit cell a=6.8402 b=6.8402 c=6.2027 alpha=90.00 beta=90.00 gamma=90.00
Atoms (fractional coordinates):
Rb1 0.0000 0.5000 0.0000
Rb2 0.5000 0.0000 0.0000
Ga1 0.0000 0.0000 0.5000
Mo1 0.5000 0.5000 0.5000
I1 0.0000 0.0000 0.0000

***

DFT (PBE) results for an optimized crystal structure of Rb2GaMoI6.

Unit cell a=8.4456 b=8.4456 c=8.4456 alpha=60.00 beta=60.00 gamma=60.00
Atoms (fractional coordinates):
Rb1 0.2500 0.2500 0.2500
Rb2 0.7500 0.7500 0.7500
Ga1 0.0000 0.0000 0.0000
Mo1 0.5000 0.5000 0.5000
I1 0.2635 0.2635 0.7365
I2 0.2635 0.7365 0.2635
I3 0.2635 0.7365 0.7365
I4 0.7365 0.2635 0.2635
I5 0.7365 0.2635 0.7365
I6 0.7365 0.7365 0.2635

***

DFT (PBE) results for an optimized crystal structure of GaSbMoI2.

Unit cell a=5.5908 b=5.5908 c=5.4402 alpha=90.00 beta=90.00 gamma=90.00
Atoms (fractional coordinates):
Ga1 0.0000 0.0000 0.0000
Sb1 0.0000 0.0000 0.5000
Mo1 0.5000 0.5000 0.5000
I1 0.0000 0.5000 0.0000
I2 0.5000 0.0000 0.0000

Results
E above lowest polymorph = 595 meV/atom

***

DFT (PBE) results for an optimized crystal structure of GaSbMoI2.

Unit cell a=5.7725 b=5.7725 c=5.2398 alpha=90.00 beta=90.00 gamma=90.00
Atoms (fractional coordinates):
Ga1 0.0000 0.0000 0.0000
Sb1 0.5000 0.5000 0.0000
Mo1 0.5000 0.5000 0.5000
I1 0.0000 0.5000 0.5000
I2 0.5000 0.0000 0.5000

Results
E above lowest polymorph = 0 meV/atom

***

DFT (PBE) results for an optimized crystal structure of GaTe2MoI.

Unit cell a=5.4008 b=5.4008 c=5.5042 alpha=90.00 beta=90.00 gamma=90.00
Atoms (fractional coordinates):
Ga1 0.0000 0.0000 0.0000
Te1 0.0000 0.5000 0.0000
Te2 0.5000 0.0000 0.0000
Mo1 0.5000 0.5000 0.5000
I1 0.0000 0.0000 0.5000

Results
E above lowest polymorph = 636 meV/atom

***

DFT (PBE) results for an optimized crystal structure of GaTe2MoI.

Unit cell a=5.2508 b=5.2508 c=5.9859 alpha=90.00 beta=90.00 gamma=90.00
Atoms (fractional coordinates):
Ga1 0.0000 0.0000 0.0000
Te1 0.0000 0.5000 0.5000
Te2 0.5000 0.0000 0.5000
Mo1 0.5000 0.5000 0.5000
I1 0.5000 0.5000 0.0000

Results
E above lowest polymorph = 0 meV/atom

***

DFT (PBE) results for an optimized crystal structure of GaMoW2I.

Unit cell a=4.8479 b=4.8479 c=5.6699 alpha=90.00 beta=90.00 gamma=90.00
Atoms (fractional coordinates):
Ga1 0.0000 0.0000 0.0000
Mo1 0.5000 0.5000 0.5000
W1 0.0000 0.5000 0.5000
W2 0.5000 0.0000 0.5000
I1 0.5000 0.5000 0.0000

***

Number 1: energy -28.32 eV/cell, density of states at the Fermi level 10.293 states/eV/f.u., formation energy without anion corrections 1.7497 eV/atom. Number 2: energy -29.88 eV/cell, density of states at the Fermi level 3.770 states/eV/f.u., formation energy without anion corrections 0.8743 eV/atom. Number 3: energy -14.53 eV/cell, density of states at the Fermi level 3.104 states/eV/f.u., formation energy without anion corrections 0.9764 eV/atom. Number 4: energy -19.94 eV/cell, density of states at the Fermi level 4.955 states/eV/f.u., formation energy without anion corrections 1.0679 eV/atom. Number 5: energy -24.39 eV/cell, density of states at the Fermi level 1.884 states/eV/f.u., formation energy without anion corrections 0.1780 eV/atom. Number 6: energy -13.10 eV/cell, density of states at the Fermi level 4.019 states/eV/f.u., formation energy without anion corrections 0.8482 eV/atom. Number 7: energy -32.14 eV/cell, density of states at the Fermi level 0.000 states/eV/f.u., formation energy without anion corrections -0.7045 eV/atom. Number 8: energy -16.00 eV/cell, density of states at the Fermi level 3.539 states/eV/f.u., formation energy without anion corrections 1.0156 eV/atom. Number 9: energy -18.98 eV/cell, density of states at the Fermi level 1.595 states/eV/f.u., formation energy without anion corrections 0.4206 eV/atom. Number 10: energy -16.95 eV/cell, density of states at the Fermi level 4.377 states/eV/f.u., formation energy without anion corrections 0.9490 eV/atom. Number 11: energy -20.13 eV/cell, density of states at the Fermi level 5.374 states/eV/f.u., formation energy without anion corrections 0.3130 eV/atom. Number 12: energy -31.40 eV/cell, density of states at the Fermi level 4.430 states/eV/f.u., formation energy without anion corrections 1.9830 eV/atom.